Entry 1:
# SCAN Be2CrOs, single point on PBEsol structure
# Energy relative to the lowest polymorph listed for this composition (kJ per mole of atoms): 0.00
# E_form (meV per atom): -178
# Space-group type: Fm-3m (225)
# Calculated total energy (eV/f.u.): -99.7
# Crystal system: cubic
data_Be2CrOs
_chemical_formula_sum 'Be2 Cr1 Os1'
_space_group_name_H-M_alt 'P 1'
_space_group_IT_number 1
_space_group_name_Hall 'P 1'
_cell_length_a 3.8878
_cell_length_b 3.8878
_cell_length_c 3.8878
_cell_angle_alpha 60.00
_cell_angle_beta 60.00
_cell_angle_gamma 60.00
loop_
_atom_site_label
_atom_site_fract_x
_atom_site_fract_y
_atom_site_fract_z
_atom_site_occupancy
Cr1 0.0000 0.0000 0.0000 1
Be1 0.7500 0.7500 0.7500 1
Be2 0.2500 0.2500 0.2500 1
Os1 0.5000 0.5000 0.5000 1

Entry 2:
# SCAN Be2CrOs, single point on PBEsol structure
# Energy relative to the lowest polymorph listed for this composition (kJ per mole of atoms): 39.19
# E_form (meV per atom): 228
# Space-group type: Cmm2 (35)
# Calculated total energy (eV/f.u.): -98.1
# Crystal system: orthorhombic
data_Be2CrOs
_chemical_formula_sum 'Be2 Cr1 Os1'
_space_group_name_H-M_alt 'P 1'
_space_group_IT_number 1
_space_group_name_Hall 'P 1'
_cell_length_a 2.5336
_cell_length_b 2.5336
_cell_length_c 7.6387
_cell_angle_alpha 90.00
_cell_angle_beta 90.00
_cell_angle_gamma 113.62
loop_
_atom_site_label
_atom_site_fract_x
_atom_site_fract_y
_atom_site_fract_z
_atom_site_occupancy
Be1 0.0000 0.0000 0.9874 1
Cr1 0.0000 0.0000 0.5137 1
Os1 0.5000 0.5000 0.2422 1
Be2 0.5000 0.5000 0.7567 1